No. 1
AsRuBr2 PBE relaxed; M_tot = 0.915 μB per formula unit; Fermi-level density of states = 1.94 states/eV/f.u.; offset from the most stable computed form = 0.968 eV/atom; formation energy (no corrections) = 81 kJ per mole of atoms
1.0
-2.638 2.638 2.859
2.638 -2.638 2.859
2.638 2.638 -2.859
As Ru Br
1 1 2
direct
0.000 0.000 0.000
0.750 0.250 0.500
0.250 0.750 0.500
0.500 0.500 0.000

No. 2
AsRuBr2 PBE relaxed; M_tot = 0.318 μB per formula unit; Fermi-level density of states = 2.47 states/eV/f.u.; offset from the most stable computed form = 0.277 eV/atom; formation energy (no corrections) = 14 kJ per mole of atoms
1.0
-4.763 4.763 2.333
4.763 -4.763 2.333
4.763 4.763 -2.333
As Ru Br
2 2 4
direct
0.000 0.000 0.000
0.750 0.250 0.500
0.250 0.750 0.500
0.500 0.500 0.000
0.276 0.625 0.151
0.375 0.526 0.651
0.474 0.125 0.849
0.875 0.724 0.349

No. 3
AsRuBr2 PBE relaxed; M_tot = 1.079 μB per formula unit; Fermi-level density of states = 3.95 states/eV/f.u.; offset from the most stable computed form = 0.646 eV/atom; formation energy (no corrections) = 50 kJ per mole of atoms
1.0
1.783 1.029 9.333
-1.783 1.029 9.333
0.000 -2.059 9.333
As Ru Br
1 1 2
direct
0.000 0.000 0.000
0.500 0.500 0.500
0.218 0.218 0.218
0.782 0.782 0.782